The following is a DFT calculation (PBEsol) of La2Ir7 after structural relaxation.

The value obtained for the volume is 643.82 Å³/cell. For the formation energy, the calculation gives -414 meV per atom.

Cell lengths 5.3293, 5.3293, 26.1757 Å; angles 90.00, 90.00, 120.00 degrees
Space group P6_3/mmc (No. 194)
Inequivalent atoms, fractional coordinates:
1 La 0.3333 0.6667 0.0280 (multiplicity 4)
2 La 0.3333 0.6667 0.1738 (multiplicity 4)
3 Ir 0.0000 0.0000 0.0000 (multiplicity 2)
4 Ir 0.0000 0.0000 0.1680 (multiplicity 4)
5 Ir 0.1657 0.3315 0.5867 (multiplicity 12)
6 Ir 0.1676 0.3352 0.7500 (multiplicity 6)
7 Ir 0.3333 0.6667 0.6667 (multiplicity 4)


The following is a DFT calculation (PBEsol) of La3Ir2 after structural relaxation.

The value obtained for the volume is 1144.42 Å³/cell. The distance to the lowest polymorph of the same formula comes out at 0.00 eV per formula unit. For the formation energy, the calculation gives -622 meV per atom.

Cell lengths 8.8023, 8.8023, 17.0555 Å; angles 90.00, 90.00, 120.00 degrees
Space group R-3 (No. 148, hexagonal axes)
Inequivalent atoms, fractional coordinates:
1 La 0.0000 0.0000 0.0000 (multiplicity 3)
2 La 0.0000 0.0000 0.1984 (multiplicity 6)
3 La 0.0109 0.7485 0.5930 (multiplicity 18)
4 Ir 0.0174 0.4018 0.5710 (multiplicity 18)


The following is a DFT calculation (PBEsol) of La5Ir3 after structural relaxation.

The value obtained for the volume is 409.90 Å³/cell. The distance to the lowest polymorph of the same formula comes out at 0.30 eV per formula unit. For the formation energy, the calculation gives -577 meV per atom.

Cell lengths 8.3527, 8.3527, 6.7842 Å; angles 90.00, 90.00, 120.00 degrees
Space group P6_3/mcm (No. 193)
Inequivalent atoms, fractional coordinates:
1 La 0.0000 0.2542 0.2500 (multiplicity 6)
2 La 0.3333 0.6667 0.0000 (multiplicity 4)
3 Ir 0.0000 0.3874 0.7500 (multiplicity 6)


The following is a DFT calculation (PBEsol) of LiLaIr2 after structural relaxation.

The value obtained for the volume is 74.88 Å³/cell. For the formation energy, the calculation gives 103 meV per atom.

Cell lengths 3.5176, 3.5176, 6.0518 Å; angles 90.00, 90.00, 90.00 degrees
Space group P4mm (No. 99)
Inequivalent atoms, fractional coordinates:
1 Li 0.0000 0.0000 0.0000 (multiplicity 1)
2 La 0.5000 0.5000 0.6716 (multiplicity 1)
3 Ir 0.0000 0.0000 0.3923 (multiplicity 1)
4 Ir 0.5000 0.5000 0.2293 (multiplicity 1)


no.,Fermi-level density of states (states/eV/atom)
1,0.98
2,0.70
3,0.86
4,1.20